No. 1
NaLaSN2 after structural relaxation, computed with PBE.

POSCAR file:
```
NaLaSN2
1.0
4.346 0.000 0.000
0.000 4.346 0.000
0.000 0.000 4.802
Na S N La
1 1 2 1
Direct
0.000 0.000 0.000
0.000 0.000 0.500
0.000 0.500 0.000
0.500 0.000 0.000
0.500 0.500 0.500
```

Space group: P4/mmm
Density of states at the Fermi level (states/eV/cell): 2.80

***

No. 2
NaLaSN2 after structural relaxation, computed with PBE.

POSCAR file:
```
NaLaSN2
1.0
-1.916 -1.293 3.735
-1.037 -3.841 -1.862
5.044 -2.240 1.812
Na S N La
1 1 2 1
Direct
0.500 0.500 0.500
0.000 0.000 0.500
0.000 0.500 0.000
0.500 0.000 0.000
0.000 0.000 0.000
```

Space group: P4/mmm
Density of states at the Fermi level (states/eV/cell): 3.45

***

No. 3
NaLa2SbN after structural relaxation, computed with PBE.

POSCAR file:
```
NaLa2SbN
1.0
-4.583 3.185 -0.916
-2.651 -4.051 -0.821
-1.288 -0.272 5.501
Sb N Na La
1 1 1 2
Direct
0.000 0.500 0.000
0.500 0.500 0.500
0.000 0.000 0.000
0.000 0.000 0.500
0.500 0.000 0.000
```

Space group: P4/mmm
Density of states at the Fermi level (states/eV/cell): 3.90

***

No. 4
NaLa2SbN after structural relaxation, computed with PBE.

POSCAR file:
```
NaLa2SbN
1.0
5.037 0.000 0.000
0.000 5.037 0.000
0.000 0.000 4.863
Sb N Na La
1 1 1 2
Direct
0.500 0.500 0.500
0.000 0.000 0.000
0.000 0.000 0.500
0.000 0.500 0.000
0.500 0.000 0.000
```

Space group: P4/mmm
Density of states at the Fermi level (states/eV/cell): 1.58

***

No. 5
NaLaSe2N after structural relaxation, computed with PBE.

POSCAR file:
```
NaLaSe2N
1.0
-3.432 -0.620 4.426
5.893 -7.222 3.558
2.983 3.838 2.850
Na N Se La
1 1 2 1
Direct
0.000 0.500 0.000
0.500 0.500 0.500
0.000 0.000 0.500
0.500 0.000 0.000
0.000 0.000 0.000
```

Space group: P4/mmm
Density of states at the Fermi level (states/eV/cell): 6.69

***

No. 6
NaLaSe2N after structural relaxation, computed with PBE.

POSCAR file:
```
NaLaSe2N
1.0
-3.358 -1.392 3.763
2.143 -3.662 0.558
3.039 2.322 3.570
Na N Se La
1 1 2 1
Direct
0.000 0.000 0.000
0.000 0.500 0.000
0.000 0.000 0.500
0.500 0.000 0.000
0.500 0.500 0.500
```

Space group: P4/mmm
Density of states at the Fermi level (states/eV/cell): 1.14

***

Number 1: E -0.3531 Ry/atom, energy relative to the lowest polymorph listed for this composition 0.188 eV per atom. Number 2: E -0.3668 Ry/atom, energy relative to the lowest polymorph listed for this composition 0.000 eV per atom. Number 3: E -0.2606 Ry/atom, energy relative to the lowest polymorph listed for this composition 2.153 eV per atom. Number 4: E -0.4188 Ry/atom, energy relative to the lowest polymorph listed for this composition 0.000 eV per atom. Number 5: E -0.2777 Ry/atom, energy relative to the lowest polymorph listed for this composition 0.773 eV per atom. Number 6: E -0.3201 Ry/atom, energy relative to the lowest polymorph listed for this composition 0.196 eV per atom.